# 1
# PBE-GGA TbGd2Y, relaxed
# **Relative energy among the computed polymorphs**: 2.9 meV per atom
# **Energy of formation**: 28 meV per atom
# **DOS at the Fermi energy**: 7.6 states/eV/f.u.
# **Total DFT energy (no corrections)**: -9.7865 eV per atom
data_TbGd2Y
_chemical_formula_sum 'Tb1 Gd2 Y1'
_cell_length_a 5.053
_cell_length_b 5.053
_cell_length_c 5.049
_cell_angle_alpha 90.00
_cell_angle_beta 90.00
_cell_angle_gamma 90.00
_symmetry_space_group_name_H-M 'P 4/m m m'
_symmetry_Int_Tables_number 123
_symmetry_space_group_name_Hall '-P 4 2'
loop_
_atom_site_label
_atom_site_type_symbol
_atom_site_fract_x
_atom_site_fract_y
_atom_site_fract_z
Tb1 Tb 0.000 0.000 0.000
Gd1 Gd 0.000 0.500 0.500
Y1 Y 0.500 0.500 0.000

# 2
# PBE-GGA TbGd2Y, relaxed
# **Relative energy among the computed polymorphs**: 1.9 meV per atom
# **Energy of formation**: 27 meV per atom
# **DOS at the Fermi energy**: 7.2 states/eV/f.u.
# **Total DFT energy (no corrections)**: -9.7874 eV per atom
data_TbGd2Y
_chemical_formula_sum 'Tb1 Gd2 Y1'
_cell_length_a 3.572
_cell_length_b 3.572
_cell_length_c 10.110
_cell_angle_alpha 90.00
_cell_angle_beta 90.00
_cell_angle_gamma 90.00
_symmetry_space_group_name_H-M 'P 4/m m m'
_symmetry_Int_Tables_number 123
_symmetry_space_group_name_Hall '-P 4 2'
loop_
_atom_site_label
_atom_site_type_symbol
_atom_site_fract_x
_atom_site_fract_y
_atom_site_fract_z
Tb1 Tb 0.000 0.000 0.000
Gd1 Gd 0.500 0.500 0.249
Y1 Y 0.000 0.000 0.500

# 3
# PBE-GGA TbGdY2, relaxed
# **Relative energy among the computed polymorphs**: 2.1 meV per atom
# **Energy of formation**: 25 meV per atom
# **DOS at the Fermi energy**: 6.3 states/eV/f.u.
# **Total DFT energy (no corrections)**: -7.8851 eV per atom
data_TbGdY2
_chemical_formula_sum 'Tb1 Gd1 Y2'
_cell_length_a 3.573
_cell_length_b 3.573
_cell_length_c 10.107
_cell_angle_alpha 90.00
_cell_angle_beta 90.00
_cell_angle_gamma 90.00
_symmetry_space_group_name_H-M 'P 4/m m m'
_symmetry_Int_Tables_number 123
_symmetry_space_group_name_Hall '-P 4 2'
loop_
_atom_site_label
_atom_site_type_symbol
_atom_site_fract_x
_atom_site_fract_y
_atom_site_fract_z
Tb1 Tb 0.000 0.000 0.000
Gd1 Gd 0.000 0.000 0.500
Y1 Y 0.500 0.500 0.248

# 4
# PBE-GGA Tb2GdY, relaxed
# **Relative energy among the computed polymorphs**: 101.2 meV per atom
# **Energy of formation**: 121 meV per atom
# **DOS at the Fermi energy**: 7.8 states/eV/f.u.
# **Total DFT energy (no corrections)**: -7.3307 eV per atom
data_Tb2GdY
_chemical_formula_sum 'Tb8 Gd4 Y4'
_cell_length_a 8.050
_cell_length_b 8.050
_cell_length_c 8.050
_cell_angle_alpha 90.00
_cell_angle_beta 90.00
_cell_angle_gamma 90.00
_symmetry_space_group_name_H-M 'F m -3 m'
_symmetry_Int_Tables_number 225
_symmetry_space_group_name_Hall '-F 4 2 3'
loop_
_atom_site_label
_atom_site_type_symbol
_atom_site_fract_x
_atom_site_fract_y
_atom_site_fract_z
Tb1 Tb 0.250 0.250 0.250
Gd1 Gd 0.000 0.000 0.000
Y1 Y 0.000 0.000 0.500

# 5
# PBE-GGA TbGd2Y, relaxed
# **Relative energy among the computed polymorphs**: 0.0 meV per atom
# **Energy of formation**: 25 meV per atom
# **DOS at the Fermi energy**: 6.8 states/eV/f.u.
# **Total DFT energy (no corrections)**: -9.7894 eV per atom
data_TbGd2Y
_chemical_formula_sum 'Tb3 Gd6 Y3'
_cell_length_a 3.5722
_cell_length_b 3.5722
_cell_length_c 35.0171
_cell_angle_alpha 90.00
_cell_angle_beta 90.00
_cell_angle_gamma 120.00
_symmetry_space_group_name_H-M 'R -3 m'
_symmetry_Int_Tables_number 166
_symmetry_space_group_name_Hall '-R 3 2"'
loop_
_atom_site_label
_atom_site_type_symbol
_atom_site_fract_x
_atom_site_fract_y
_atom_site_fract_z
Tb1 Tb 0.0000 0.0000 0.0000
Gd1 Gd 0.0000 0.0000 0.2503
Y1 Y 0.0000 0.0000 0.5000

# 6
# PBE-GGA Tb4GdY, relaxed
# **Energy of formation**: 232 meV per atom
# **DOS at the Fermi energy**: 10.9 states/eV/f.u.
# **Total DFT energy (no corrections)**: -6.2791 eV per atom
data_Tb4GdY
_chemical_formula_sum 'Tb16 Gd4 Y4'
_cell_length_a 9.326
_cell_length_b 9.326
_cell_length_c 9.326
_cell_angle_alpha 90.00
_cell_angle_beta 90.00
_cell_angle_gamma 90.00
_symmetry_space_group_name_H-M 'F -4 3 m'
_symmetry_Int_Tables_number 216
_symmetry_space_group_name_Hall 'F -4 2 3'
loop_
_atom_site_label
_atom_site_type_symbol
_atom_site_fract_x
_atom_site_fract_y
_atom_site_fract_z
Tb1 Tb 0.124 0.124 0.124
Gd1 Gd 0.000 0.000 0.500
Y1 Y 0.250 0.250 0.750

# 7
# PBE-GGA Tb2GdY, relaxed
# **Relative energy among the computed polymorphs**: 0.9 meV per atom
# **Energy of formation**: 20 meV per atom
# **DOS at the Fermi energy**: 6.1 states/eV/f.u.
# **Total DFT energy (no corrections)**: -7.4309 eV per atom
data_Tb2GdY
_chemical_formula_sum 'Tb6 Gd3 Y3'
_cell_length_a 3.5718
_cell_length_b 3.5718
_cell_length_c 34.9150
_cell_angle_alpha 90.00
_cell_angle_beta 90.00
_cell_angle_gamma 120.00
_symmetry_space_group_name_H-M 'R -3 m'
_symmetry_Int_Tables_number 166
_symmetry_space_group_name_Hall '-R 3 2"'
loop_
_atom_site_label
_atom_site_type_symbol
_atom_site_fract_x
_atom_site_fract_y
_atom_site_fract_z
Tb1 Tb 0.0000 0.0000 0.2503
Gd1 Gd 0.0000 0.0000 0.5000
Y1 Y 0.0000 0.0000 0.0000

# 8
# PBE-GGA TbGdY2, relaxed
# **Relative energy among the computed polymorphs**: 0.0 meV per atom
# **Energy of formation**: 23 meV per atom
# **DOS at the Fermi energy**: 6.9 states/eV/f.u.
# **Total DFT energy (no corrections)**: -7.8872 eV per atom
data_TbGdY2
_chemical_formula_sum 'Tb1 Gd1 Y2'
_cell_length_a 5.055
_cell_length_b 5.055
_cell_length_c 5.043
_cell_angle_alpha 90.00
_cell_angle_beta 90.00
_cell_angle_gamma 90.00
_symmetry_space_group_name_H-M 'P 4/m m m'
_symmetry_Int_Tables_number 123
_symmetry_space_group_name_Hall '-P 4 2'
loop_
_atom_site_label
_atom_site_type_symbol
_atom_site_fract_x
_atom_site_fract_y
_atom_site_fract_z
Tb1 Tb 0.000 0.000 0.000
Gd1 Gd 0.500 0.500 0.000
Y1 Y 0.000 0.500 0.500

Question: Which formula does entry 6 have?
Answer: Tb4GdY